(1)
Here is a relaxed structure of Li2NdGa2 from Alexandria. Energies are from PBE.

Lattice parameters (Å, degrees): 6.686 6.686 6.686 143.51 143.51 52.55
Fractional coordinates of all 5 atoms:
Li: 0.250 0.750 0.500
Li: 0.750 0.250 0.500
Nd: 0.000 0.000 0.000
Ga: 0.395 0.395 0.000
Ga: 0.605 0.605 0.000

polymorph energy (0 for the lowest one): 19.4 meV/atom
crystal system: tetragonal
SG: I4/mmm (139)
E_form: -360.2 meV/atom
volume: 105.1 Å³ per cell
raw total energy: -3.29 eV per atom

***

(2)
Here is a relaxed structure of LiNdGa3 from Alexandria. Energies are from PBE.

Lattice parameters (Å, degrees): 12.447 12.447 4.277 90.00 90.00 160.88
Fractional coordinates of all 10 atoms:
Li: 0.206 0.794 0.750
Li: 0.794 0.206 0.250
Nd: 0.076 0.924 0.250
Nd: 0.924 0.076 0.750
Ga: 0.317 0.683 0.750
Ga: 0.372 0.628 0.250
Ga: 0.474 0.526 0.250
Ga: 0.526 0.474 0.750
Ga: 0.628 0.372 0.750
Ga: 0.683 0.317 0.250

crystal system: orthorhombic
SG: Cmcm (63)
E_form: -435.7 meV/atom
volume: 217.0 Å³ per cell
raw total energy: -3.59 eV per atom

***

(3)
Here is a relaxed structure of Li3Nd2Ga4 from Alexandria. Energies are from PBE.

Lattice parameters (Å, degrees): 8.659 8.659 7.737 90.00 90.00 140.75
Fractional coordinates of all 18 atoms:
Li: 0.000 0.000 0.000
Li: 0.016 0.484 0.250
Li: 0.484 0.016 0.750
Li: 0.500 0.500 0.500
Li: 0.516 0.984 0.250
Li: 0.984 0.516 0.750
Nd: 0.102 0.898 0.398
Nd: 0.398 0.602 0.898
Nd: 0.602 0.398 0.102
Nd: 0.898 0.102 0.602
Ga: 0.162 0.838 0.003
Ga: 0.179 0.321 0.250
Ga: 0.321 0.179 0.750
Ga: 0.338 0.662 0.503
Ga: 0.662 0.338 0.497
Ga: 0.679 0.821 0.250
Ga: 0.821 0.679 0.750
Ga: 0.838 0.162 0.997

crystal system: orthorhombic
SG: Cmce (64)
E_form: -388.7 meV/atom
volume: 367.1 Å³ per cell
raw total energy: -3.43 eV per atom

***

(4)
Here is a relaxed structure of Li2Nd3Ga4 from Alexandria. Energies are from PBE.

Lattice parameters (Å, degrees): 5.886 5.886 8.853 112.95 112.95 46.59
Fractional coordinates of all 9 atoms:
Li: 0.099 0.099 0.269
Li: 0.901 0.901 0.731
Nd: 0.171 0.171 0.659
Nd: 0.500 0.500 0.000
Nd: 0.829 0.829 0.341
Ga: 0.237 0.237 0.074
Ga: 0.463 0.463 0.627
Ga: 0.537 0.537 0.373
Ga: 0.763 0.763 0.926

crystal system: monoclinic
SG: C2/m (12)
E_form: -479.6 meV/atom
volume: 201.8 Å³ per cell
raw total energy: -3.84 eV per atom